Record 1
# Cd9Pd2Pb, optimized geometry, DFT GGA-PBE
data_Cd9Pd2Pb
_cell_length_a 11.865
_cell_length_b 11.865
_cell_length_c 7.544
_cell_angle_alpha 90.00
_cell_angle_beta 90.00
_cell_angle_gamma 90.00
_space_group_name_H-M_alt 'I 41/a m d'
_space_group_IT_number 141
loop_
_space_group_symop_operation_xyz
'x,y,z'
'-x,-y,-z'
'-y+1/4,x+3/4,z+1/4'
'y+1/4,-x+3/4,-z+1/4'
'-x+1/2,-y,z+1/2'
'x+1/2,y,-z+1/2'
'y+1/4,-x+1/4,z+3/4'
'-y+1/4,x+1/4,-z+3/4'
'x,-y,-z'
'-x,y,z'
'-y+1/4,-x+1/4,-z+3/4'
'y+1/4,x+1/4,z+3/4'
'-x+1/2,y,-z+1/2'
'x+1/2,-y,z+1/2'
'y+1/4,x+3/4,-z+1/4'
'-y+1/4,-x+3/4,z+1/4'
'x+1/2,y+1/2,z+1/2'
'-x+1/2,-y+1/2,-z+1/2'
'-y+3/4,x+1/4,z+3/4'
'y+3/4,-x+1/4,-z+3/4'
'-x,-y+1/2,z'
'x,y+1/2,-z'
'y+3/4,-x+3/4,z+1/4'
'-y+3/4,x+3/4,-z+1/4'
'x+1/2,-y+1/2,-z+1/2'
'-x+1/2,y+1/2,z+1/2'
'-y+3/4,-x+3/4,-z+1/4'
'y+3/4,x+3/4,z+1/4'
'-x,y+1/2,-z'
'x,-y+1/2,z'
'y+3/4,x+1/4,-z+3/4'
'-y+3/4,-x+1/4,z+3/4'
loop_
_atom_site_label
_atom_site_type_symbol
_atom_site_fract_x
_atom_site_fract_y
_atom_site_fract_z
_atom_site_occupancy
Cd1 Cd 0.000 0.250 0.375 1
Cd2 Cd 0.121 0.051 0.181 1
Pd1 Pd 0.000 0.000 0.500 1
Pb1 Pb 0.000 0.250 0.875 1
# N(E_F) = 0.413 states/eV per atom
# ΔE_f = -0.11 eV per atom
# mass density = 8.95 g/cm3
# volume = 1062.0 Å³ per cell
# total DFT energy (no corrections) = -94.62 eV per cell



Record 2
# CdPdPb, optimized geometry, DFT GGA-PBE
data_CdPdPb
_cell_length_a 4.7702
_cell_length_b 4.7702
_cell_length_c 3.4017
_cell_angle_alpha 90.00
_cell_angle_beta 90.00
_cell_angle_gamma 120.00
_space_group_name_H-M_alt 'P 3 m 1'
_space_group_IT_number 156
_space_group_name_Hall 'P 3 -2"'
loop_
_atom_site_label
_atom_site_type_symbol
_atom_site_fract_x
_atom_site_fract_y
_atom_site_fract_z
_atom_site_occupancy
Cd1 Cd 0.0000 0.0000 0.0000 1
Pd1 Pd 0.3333 0.6667 0.0155 1
Pb1 Pb 0.6667 0.3333 0.5041 1
# N(E_F) = 0.391 states/eV per atom
# energy relative to the lowest polymorph listed for this composition = 141 meV/atom
# ΔE_f = -0.06 eV per atom
# mass density = 10.55 g/cm3
# volume = 67.0 Å³ per cell
# total DFT energy (no corrections) = -10.01 eV per cell



Record 3
# Cd2Pd6Pb, optimized geometry, DFT GGA-PBE
data_Cd2Pd6Pb
_cell_length_a 13.971
_cell_length_b 5.575
_cell_length_c 4.837
_cell_angle_alpha 90.00
_cell_angle_beta 104.38
_cell_angle_gamma 90.00
_space_group_name_H-M_alt 'C 1 2/m 1'
_space_group_IT_number 12
_space_group_name_Hall '-C 2y'
loop_
_atom_site_label
_atom_site_type_symbol
_atom_site_fract_x
_atom_site_fract_y
_atom_site_fract_z
_atom_site_occupancy
Cd1 Cd 0.171 0.000 0.307 1
Pd1 Pd 0.000 0.245 0.000 1
Pd2 Pd 0.165 0.249 0.792 1
Pb1 Pb 0.000 0.500 0.500 1
# N(E_F) = 0.497 states/eV per atom
# ΔE_f = -0.04 eV per atom
# mass density = 9.74 g/cm3
# volume = 364.9 Å³ per cell
# total DFT energy (no corrections) = -74.18 eV per cell



Record 4
# CdPd8Pb2, optimized geometry, DFT GGA-PBE
data_CdPd8Pb2
_cell_length_a 14.817
_cell_length_b 4.170
_cell_length_c 6.554
_cell_angle_alpha 90.00
_cell_angle_beta 109.08
_cell_angle_gamma 90.00
_space_group_name_H-M_alt 'C 1 2/m 1'
_space_group_IT_number 12
_space_group_name_Hall '-C 2y'
loop_
_atom_site_label
_atom_site_type_symbol
_atom_site_fract_x
_atom_site_fract_y
_atom_site_fract_z
_atom_site_occupancy
Cd1 Cd 0.000 0.000 0.000 1
Pd1 Pd 0.036 0.500 0.729 1
Pd2 Pd 0.088 0.000 0.458 1
Pd3 Pd 0.143 0.500 0.199 1
Pd4 Pd 0.173 0.000 0.915 1
Pb1 Pb 0.214 0.500 0.663 1
# N(E_F) = 0.499 states/eV per atom
# energy relative to the lowest polymorph listed for this composition = 18 meV/atom
# ΔE_f = -0.23 eV per atom
# mass density = 11.96 g/cm3
# volume = 382.7 Å³ per cell
# total DFT energy (no corrections) = -104.72 eV per cell



Record 5
# Cd5Pd12Pb2, optimized geometry, DFT GGA-PBE
data_Cd5Pd12Pb2
_cell_length_a 14.203
_cell_length_b 9.433
_cell_length_c 5.183
_cell_angle_alpha 90.00
_cell_angle_beta 103.51
_cell_angle_gamma 90.00
_space_group_name_H-M_alt 'C 1 2/m 1'
_space_group_IT_number 12
_space_group_name_Hall '-C 2y'
loop_
_atom_site_label
_atom_site_type_symbol
_atom_site_fract_x
_atom_site_fract_y
_atom_site_fract_z
_atom_site_occupancy
Cd1 Cd 0.000 0.000 0.000 1
Cd2 Cd 0.159 0.500 0.379 1
Cd3 Cd 0.223 0.000 0.021 1
Pd1 Pd 0.056 0.500 0.796 1
Pd2 Pd 0.102 0.249 0.111 1
Pd3 Pd 0.135 0.000 0.464 1
Pd4 Pd 0.200 0.257 0.707 1
Pb1 Pb 0.000 0.237 0.500 1
# N(E_F) = 0.463 states/eV per atom
# ΔE_f = -0.25 eV per atom
# mass density = 11.08 g/cm3
# volume = 675.2 Å³ per cell
# total DFT energy (no corrections) = -157.97 eV per cell



Record 6
# CdPd12Pb3, optimized geometry, DFT GGA-PBE
data_CdPd12Pb3
_cell_length_a 4.087
_cell_length_b 4.087
_cell_length_c 16.370
_cell_angle_alpha 90.00
_cell_angle_beta 90.00
_cell_angle_gamma 90.00
_space_group_name_H-M_alt 'P 4/m m m'
_space_group_IT_number 123
_space_group_name_Hall '-P 4 2'
loop_
_atom_site_label
_atom_site_type_symbol
_atom_site_fract_x
_atom_site_fract_y
_atom_site_fract_z
_atom_site_occupancy
Cd1 Cd 0.000 0.000 0.000 1
Pd1 Pd 0.000 0.500 0.122 1
Pd2 Pd 0.000 0.500 0.374 1
Pd3 Pd 0.500 0.500 0.000 1
Pd4 Pd 0.500 0.500 0.250 1
Pd5 Pd 0.500 0.500 0.500 1
Pb1 Pb 0.000 0.000 0.246 1
Pb2 Pb 0.000 0.000 0.500 1
# N(E_F) = 0.769 states/eV per atom
# ΔE_f = -0.27 eV per atom
# mass density = 12.21 g/cm3
# volume = 273.5 Å³ per cell
# total DFT energy (no corrections) = -78.67 eV per cell



Record 7
# CdPdRhPb, optimized geometry, DFT GGA-PBE
data_CdPdRhPb
_cell_length_a 6.652
_cell_length_b 6.652
_cell_length_c 6.652
_cell_angle_alpha 90.00
_cell_angle_beta 90.00
_cell_angle_gamma 90.00
_space_group_name_H-M_alt 'F -4 3 m'
_space_group_IT_number 216
_space_group_name_Hall 'F -4 2 3'
loop_
_atom_site_label
_atom_site_type_symbol
_atom_site_fract_x
_atom_site_fract_y
_atom_site_fract_z
_atom_site_occupancy
Cd1 Cd 0.000 0.000 0.000 1
Pd1 Pd 0.250 0.250 0.250 1
Rh1 Rh 0.250 0.250 0.750 1
Pb1 Pb 0.000 0.000 0.500 1
# N(E_F) = 1.326 states/eV per atom
# energy relative to the lowest polymorph listed for this composition = 5 meV/atom
# ΔE_f = -0.14 eV per atom
# mass density = 11.94 g/cm3
# volume = 294.3 Å³ per cell
# total DFT energy (no corrections) = -70.87 eV per cell



Record 8
# CdPdRhPb, optimized geometry, DFT GGA-PBE
data_CdPdRhPb
_cell_length_a 4.437
_cell_length_b 4.437
_cell_length_c 7.484
_cell_angle_alpha 90.00
_cell_angle_beta 90.00
_cell_angle_gamma 90.00
_space_group_name_H-M_alt 'I -4 m 2'
_space_group_IT_number 119
_space_group_name_Hall 'I -4 -2'
loop_
_atom_site_label
_atom_site_type_symbol
_atom_site_fract_x
_atom_site_fract_y
_atom_site_fract_z
_atom_site_occupancy
Cd1 Cd 0.000 0.000 0.000 1
Pd1 Pd 0.000 0.500 0.250 1
Rh1 Rh 0.000 0.500 0.750 1
Pb1 Pb 0.000 0.000 0.500 1
# N(E_F) = 0.534 states/eV per atom
# energy relative to the lowest polymorph listed for this composition = 0 meV/atom
# ΔE_f = -0.14 eV per atom
# mass density = 11.92 g/cm3
# volume = 147.3 Å³ per cell
# total DFT energy (no corrections) = -35.48 eV per cell



Record 9
# CdPd7Pb2S2, optimized geometry, DFT GGA-PBE
data_CdPd7Pb2S2
_cell_length_a 5.737
_cell_length_b 5.735
_cell_length_c 13.935
_cell_angle_alpha 90.00
_cell_angle_beta 97.45
_cell_angle_gamma 90.00
_space_group_name_H-M_alt 'C 1 2/m 1'
_space_group_IT_number 12
_space_group_name_Hall '-C 2y'
loop_
_atom_site_label
_atom_site_type_symbol
_atom_site_fract_x
_atom_site_fract_y
_atom_site_fract_z
_atom_site_occupancy
Cd1 Cd 0.000 0.000 0.000 1
Pd1 Pd 0.000 0.500 0.000 1
Pd2 Pd 0.096 0.500 0.414 1
Pd3 Pd 0.202 0.250 0.852 1
Pb1 Pb 0.105 0.000 0.393 1
S1 S 0.074 0.500 0.240 1
# N(E_F) = 0.581 states/eV per atom
# mass density = 9.76 g/cm3
# volume = 454.7 Å³ per cell
# total DFT energy (no corrections) = -111.95 eV per cell
# energy relative to the elements, uncorrected = -253 meV per atom



Record 10
# CdPd2PbS, optimized geometry, DFT GGA-PBE
data_CdPd2PbS
_cell_length_a 5.152
_cell_length_b 5.152
_cell_length_c 5.186
_cell_angle_alpha 90.00
_cell_angle_beta 90.00
_cell_angle_gamma 90.00
_space_group_name_H-M_alt 'P 4/m m m'
_space_group_IT_number 123
_space_group_name_Hall '-P 4 2'
loop_
_atom_site_label
_atom_site_type_symbol
_atom_site_fract_x
_atom_site_fract_y
_atom_site_fract_z
_atom_site_occupancy
Cd1 Cd 0.000 0.000 0.000 1
Pd1 Pd 0.000 0.500 0.500 1
Pb1 Pb 0.500 0.500 0.500 1
S1 S 0.500 0.500 0.000 1
# N(E_F) = 0.395 states/eV per atom
# mass density = 6.81 g/cm3
# volume = 137.7 Å³ per cell
# total DFT energy (no corrections) = -16.01 eV per cell
# energy relative to the elements, uncorrected = 625 meV per atom



Record 11
# Cd2SbPd7Pb2, optimized geometry, DFT GGA-PBE
data_Cd2SbPd7Pb2
_cell_length_a 5.605
_cell_length_b 5.575
_cell_length_c 15.903
_cell_angle_alpha 90.00
_cell_angle_beta 98.17
_cell_angle_gamma 90.00
_space_group_name_H-M_alt 'C 1 2/m 1'
_space_group_IT_number 12
_space_group_name_Hall '-C 2y'
loop_
_atom_site_label
_atom_site_type_symbol
_atom_site_fract_x
_atom_site_fract_y
_atom_site_fract_z
_atom_site_occupancy
Cd1 Cd 0.109 0.000 0.411 1
Sb1 Sb 0.000 0.000 0.000 1
Pd1 Pd 0.000 0.500 0.000 1
Pd2 Pd 0.117 0.500 0.428 1
Pd3 Pd 0.198 0.250 0.868 1
Pb1 Pb 0.103 0.500 0.258 1
# N(E_F) = 0.287 states/eV per atom
# mass density = 10.17 g/cm3
# volume = 491.9 Å³ per cell
# total DFT energy (no corrections) = -105.08 eV per cell
# energy relative to the elements, uncorrected = -235 meV per atom



Record 12
# Cd2SbPd4Pb, optimized geometry, DFT GGA-PBE
data_Cd2SbPd4Pb
_cell_length_a 4.7197
_cell_length_b 4.7197
_cell_length_c 23.2935
_cell_angle_alpha 90.00
_cell_angle_beta 90.00
_cell_angle_gamma 120.00
_space_group_name_H-M_alt 'R -3 m'
_space_group_IT_number 166
_space_group_name_Hall '-R 3 2"'
loop_
_atom_site_label
_atom_site_type_symbol
_atom_site_fract_x
_atom_site_fract_y
_atom_site_fract_z
_atom_site_occupancy
Cd1 Cd 0.0000 0.0000 0.2475 1
Sb1 Sb 0.0000 0.0000 0.0000 1
Pd1 Pd 0.0000 0.0000 0.1194 1
Pd2 Pd 0.0000 0.0000 0.3702 1
Pb1 Pb 0.0000 0.0000 0.5000 1
# N(E_F) = 0.364 states/eV per atom
# mass density = 10.86 g/cm3
# volume = 449.4 Å³ per cell
# total DFT energy (no corrections) = -99.24 eV per cell
# energy relative to the elements, uncorrected = -331 meV per atom



> Among the records above, which one has the lowest mass density?

CdPd2PbS